# 1
Computed, not measured: a relaxed structure of LaDy14Sc at the PBE level of DFT.

The structure in POSCAR format:
```
LaDy14Sc
1.0
7.0764 0.0000 0.0000
0.0000 7.0764 0.0000
0.0000 0.0000 9.9915
La Dy Sc
1 14 1
Direct
0.0000 0.0000 0.0000
0.0000 0.0000 0.5000
0.0000 0.5000 0.0000
0.0000 0.5000 0.5000
0.2528 0.2528 0.2492
0.2528 0.2528 0.7508
0.2528 0.7472 0.2492
0.2528 0.7472 0.7508
0.5000 0.0000 0.0000
0.5000 0.0000 0.5000
0.5000 0.5000 0.5000
0.7472 0.2528 0.2492
0.7472 0.2528 0.7508
0.7472 0.7472 0.2492
0.7472 0.7472 0.7508
0.5000 0.5000 0.0000
```

Computed properties:
Energy in eV/atom: -4.706
Crystal system: tetragonal
Volume in Å³ per atom: 31.27

---

# 2
Computed, not measured: a relaxed structure of HfGaPbBr2 at the PBE level of DFT.

The structure in POSCAR format:
```
HfGaPbBr2
1.0
5.1957 0.0000 0.0000
0.0000 5.1957 0.0000
0.0000 0.0000 5.5808
Hf Ga Pb Br
1 1 1 2
Direct
0.0000 0.0000 0.0000
0.0000 0.0000 0.5000
0.5000 0.5000 0.0000
0.0000 0.5000 0.5000
0.5000 0.0000 0.5000
```

Computed properties:
Uncorrected formation energy in kJ per mole of atoms: 34.6
Crystal system: tetragonal
Volume in Å³ per atom: 30.13

---

# 3
Computed, not measured: a relaxed structure of HIr2W at the PBE level of DFT.

The structure in POSCAR format:
```
HIr2W
1.0
0.0000 2.9949 2.9949
2.9949 0.0000 2.9949
2.9949 2.9949 0.0000
H Ir W
1 2 1
Direct
0.0000 0.0000 0.0000
0.2500 0.2500 0.2500
0.7500 0.7500 0.7500
0.5000 0.5000 0.5000
```

Computed properties:
Crystal system: cubic
Volume in Å³ per atom: 13.43
Polymorph energy (0 for the lowest one) in meV per atom: 351.9

---

# 4
Computed, not measured: a relaxed structure of KCa2Ni at the PBE level of DFT.

The structure in POSCAR format:
```
KCa2Ni
1.0
6.4228 -1.9519 0.0000
6.4228 1.9519 0.0000
-3.6379 0.0000 5.9336
K Ca Ni
1 2 1
Direct
0.0000 0.0000 0.0000
0.1775 0.1775 0.6628
0.3550 0.3550 0.3733
0.7190 0.7190 0.4337
```

Computed properties:
Crystal system: monoclinic
Volume in Å³ per atom: 37.19
Polymorph energy (0 for the lowest one) in meV per atom: 153.5